# 1
Entry from Alexandria via LeMat-Bulk: crystalline YV2AgGe at its relaxed geometry (GGA-PBE).

It has space group P4/mmm (No. 123), with a = 5.0172 Å, b = 5.0172 Å, c = 4.7370 Å, α = 90.00°, β = 90.00° and γ = 90.00°. The asymmetric unit holds Y at (0.0000, 0.0000, 0.0000), V at (0.0000, 0.5000, 0.5000), Ag at (0.5000, 0.5000, 0.5000) and Ge at (0.5000, 0.5000, 0.0000).

For the density of states at the Fermi level, the calculation gives 4.33 states/eV per cell. For the energy, the calculation gives -5.505 eV/atom. The density is 5.17 g cm⁻³.

# 2
Entry from Alexandria via LeMat-Bulk: crystalline AgGe3W at its relaxed geometry (GGA-PBE).

It has space group Pm-3m (No. 221), with a = 4.9155 Å, b = 4.9155 Å, c = 4.9155 Å, α = 90.00°, β = 90.00° and γ = 90.00°. The asymmetric unit holds Ag at (0.0000, 0.0000, 0.0000), Ge at (0.0000, 0.5000, 0.5000) and W at (0.5000, 0.5000, 0.5000).

For the density of states at the Fermi level, the calculation gives 2.92 states/eV per cell. The value obtained for the relative energy among the computed polymorphs is 0.0000 eV/atom. The density is 7.13 g cm⁻³.

# 3
Entry from Alexandria via LeMat-Bulk: crystalline AgGeW2 at its relaxed geometry (GGA-PBE).

It has space group I-42d (No. 122), with a = 7.2861 Å, b = 7.2861 Å, c = 5.3000 Å, α = 90.00°, β = 90.00° and γ = 90.00°. The asymmetric unit holds Ag at (0.0000, 0.0000, 0.0000), Ge at (0.0000, 0.0000, 0.5000) and W at (0.2179, 0.7500, 0.6250).

For the density of states at the Fermi level, the calculation gives 14.10 states/eV per cell. For the energy, the calculation gives -7.375 eV/atom. The density is 12.94 g cm⁻³.

# 4
Entry from Alexandria via LeMat-Bulk: crystalline AgGe2W2 at its relaxed geometry (GGA-PBE).

It has space group I4/mmm (No. 139), with a = 3.9388 Å, b = 3.9388 Å, c = 11.6217 Å, α = 90.00°, β = 90.00° and γ = 90.00°. The asymmetric unit holds Ag at (0.0000, 0.0000, 0.0000), Ge at (0.0000, 0.0000, 0.3971) and W at (0.0000, 0.5000, 0.2500).

For the density of states at the Fermi level, the calculation gives 2.45 states/eV per cell. The value obtained for the relative energy among the computed polymorphs is 0.0090 eV/atom. The density is 11.44 g cm⁻³.

# 5
Entry from Alexandria via LeMat-Bulk: crystalline Ag3GeW at its relaxed geometry (GGA-PBE).

It has space group Pm-3m (No. 221), with a = 5.0743 Å, b = 5.0743 Å, c = 5.0743 Å, α = 90.00°, β = 90.00° and γ = 90.00°. The asymmetric unit holds Ag at (0.0000, 0.0000, 0.5000), Ge at (0.5000, 0.5000, 0.5000) and W at (0.0000, 0.0000, 0.0000).

For the density of states at the Fermi level, the calculation gives 8.24 states/eV per cell. The value obtained for the relative energy among the computed polymorphs is 0.2224 eV/atom. The density is 7.37 g cm⁻³.

# 6
Entry from Alexandria via LeMat-Bulk: crystalline AgGe2W2 at its relaxed geometry (GGA-PBE).

It has space group P4/mbm (No. 127), with a = 7.2602 Å, b = 7.2602 Å, c = 3.1560 Å, α = 90.00°, β = 90.00° and γ = 90.00°. The asymmetric unit holds Ag at (0.0000, 0.0000, 0.0000), Ge at (0.1549, 0.3451, 0.0000) and W at (0.1347, 0.6347, 0.5000).

For the density of states at the Fermi level, the calculation gives 6.63 states/eV per cell. The value obtained for the relative energy among the computed polymorphs is 0.0000 eV/atom. The density is 12.39 g cm⁻³.

# 7
Entry from Alexandria via LeMat-Bulk: crystalline Ag3GeW at its relaxed geometry (GGA-PBE).

It has space group Pm-3m (No. 221), with a = 4.7011 Å, b = 4.7011 Å, c = 4.7011 Å, α = 90.00°, β = 90.00° and γ = 90.00°. The asymmetric unit holds Ag at (0.0000, 0.0000, 0.5000), Ge at (0.0000, 0.0000, 0.0000) and W at (0.5000, 0.5000, 0.5000).

For the density of states at the Fermi level, the calculation gives 5.55 states/eV per cell. The value obtained for the relative energy among the computed polymorphs is 0.0000 eV/atom. The density is 9.27 g cm⁻³.

# 8
Entry from Alexandria via LeMat-Bulk: crystalline Zr2AgGeW at its relaxed geometry (GGA-PBE).

It has space group P4/mmm (No. 123), with a = 5.0078 Å, b = 5.0078 Å, c = 4.6236 Å, α = 90.00°, β = 90.00° and γ = 90.00°. The asymmetric unit holds Zr at (0.0000, 0.5000, 0.0000), Ag at (0.0000, 0.0000, 0.5000), Ge at (0.5000, 0.5000, 0.0000) and W at (0.5000, 0.5000, 0.5000).

For the density of states at the Fermi level, the calculation gives 4.30 states/eV per cell. For the energy, the calculation gives -6.740 eV/atom. The density is 7.83 g cm⁻³.